First-principles (PBE) data for an optimized crystal structure of Ac3La3TlHg2, as listed in the Alexandria database.

Properties
Energy of formation from the pure elements (eV per atom): -0.2733
VASP energy (eV per cell): -32.5
Density of states at the Fermi level (states/eV/cell): 12.45

a = 9.4708 Å, b = 9.4708 Å, c = 4.0186 Å
α = 90.00°, β = 90.00°, γ = 120.00°
Space group P-62m (No. 189)
Symmetry-distinct sites (fractional):
Ac1 0.0000 0.3928 0.0000
La1 0.0000 0.7201 0.5000
Tl1 0.0000 0.0000 0.0000
Hg1 0.3333 0.6667 0.5000